Record 1
# TlPb2Br (PBE, relaxed)
data_TlPb2Br
_cell_length_a 12.5259
_cell_length_b 3.5854
_cell_length_c 5.7765
_cell_angle_alpha 90.00
_cell_angle_beta 90.16
_cell_angle_gamma 90.00
_space_group_name_H-M_alt 'C 1 m 1'
_space_group_IT_number 8
loop_
_space_group_symop_operation_xyz
'x,y,z'
'x,-y,z'
'x+1/2,y+1/2,z'
'x+1/2,-y+1/2,z'
loop_
_atom_site_label
_atom_site_type_symbol
_atom_site_fract_x
_atom_site_fract_y
_atom_site_fract_z
_atom_site_occupancy
Tl1 Tl 0.0000 0.0000 0.0000 1
Pb1 Pb 0.2584 0.5000 0.5016 1
Pb2 Pb 0.4829 0.0000 0.4998 1
Br1 Br 0.2519 0.0000 0.9996 1
# **Formation energy (no corrections)**: -0.21 eV/atom
# **Distance to the lowest polymorph of the same formula**: 0.031 eV per atom



Record 2
# Tl2Pb3Br8 (PBE, relaxed)
data_Tl2Pb3Br8
_cell_length_a 16.3734
_cell_length_b 8.9975
_cell_length_c 7.7302
_cell_angle_alpha 90.00
_cell_angle_beta 109.03
_cell_angle_gamma 90.00
_space_group_name_H-M_alt 'C 1 2/m 1'
_space_group_IT_number 12
loop_
_space_group_symop_operation_xyz
'x,y,z'
'-x,-y,-z'
'-x,y,-z'
'x,-y,z'
'x+1/2,y+1/2,z'
'-x+1/2,-y+1/2,-z'
'-x+1/2,y+1/2,-z'
'x+1/2,-y+1/2,z'
loop_
_atom_site_label
_atom_site_type_symbol
_atom_site_fract_x
_atom_site_fract_y
_atom_site_fract_z
_atom_site_occupancy
Tl1 Tl 0.2311 0.0000 0.1601 1
Pb1 Pb 0.0000 0.2394 0.5000 1
Pb2 Pb 0.0000 0.5000 0.0000 1
Br1 Br 0.1097 0.5000 0.4074 1
Br2 Br 0.1134 0.2671 0.9018 1
Br3 Br 0.1158 0.0000 0.4437 1
# **Formation energy (no corrections)**: -0.91 eV/atom



Record 3
# TlPbBr2 (PBE, relaxed)
data_TlPbBr2
_cell_length_a 3.7238
_cell_length_b 6.0873
_cell_length_c 6.0855
_cell_angle_alpha 90.00
_cell_angle_beta 90.09
_cell_angle_gamma 90.00
_space_group_name_H-M_alt 'P 1 m 1'
_space_group_IT_number 6
loop_
_space_group_symop_operation_xyz
'x,y,z'
'x,-y,z'
loop_
_atom_site_label
_atom_site_type_symbol
_atom_site_fract_x
_atom_site_fract_y
_atom_site_fract_z
_atom_site_occupancy
Tl1 Tl 0.0000 0.0000 0.0000 1
Pb1 Pb 0.4987 0.5000 0.4996 1
Br1 Br 0.4981 0.5000 0.9997 1
Br2 Br 0.5025 0.0000 0.4989 1
# **Formation energy (no corrections)**: -0.63 eV/atom
# **Distance to the lowest polymorph of the same formula**: 0.010 eV per atom



Record 4
# TlPb4Br8 (PBE, relaxed)
data_TlPb4Br8
_cell_length_a 9.2270
_cell_length_b 9.2270
_cell_length_c 22.0288
_cell_angle_alpha 90.00
_cell_angle_beta 90.00
_cell_angle_gamma 120.00
_space_group_name_H-M_alt 'R -3 m'
_space_group_IT_number 166
_space_group_name_Hall '-R 3 2"'
loop_
_atom_site_label
_atom_site_type_symbol
_atom_site_fract_x
_atom_site_fract_y
_atom_site_fract_z
_atom_site_occupancy
Tl1 Tl 0.0000 0.0000 0.0000 1
Pb1 Pb 0.0000 0.0000 0.5000 1
Pb2 Pb 0.0000 0.5000 0.5000 1
Br1 Br 0.0000 0.0000 0.2379 1
Br2 Br 0.0023 0.5011 0.2400 1
# **Formation energy (no corrections)**: -0.80 eV/atom
# **Distance to the lowest polymorph of the same formula**: 0.000 eV per atom



Record 5
# TlPbBr2 (PBE, relaxed)
data_TlPbBr2
_cell_length_a 12.5400
_cell_length_b 3.9221
_cell_length_c 5.4399
_cell_angle_alpha 90.00
_cell_angle_beta 100.58
_cell_angle_gamma 90.00
_space_group_name_H-M_alt 'C 1 m 1'
_space_group_IT_number 8
loop_
_space_group_symop_operation_xyz
'x,y,z'
'x,-y,z'
'x+1/2,y+1/2,z'
'x+1/2,-y+1/2,z'
loop_
_atom_site_label
_atom_site_type_symbol
_atom_site_fract_x
_atom_site_fract_y
_atom_site_fract_z
_atom_site_occupancy
Tl1 Tl 0.0000 0.0000 0.0000 1
Pb1 Pb 0.2600 0.0000 0.5301 1
Br1 Br 0.2450 0.5000 0.0482 1
Br2 Br 0.4915 0.0000 0.4838 1
# **Formation energy (no corrections)**: -0.56 eV/atom
# **Distance to the lowest polymorph of the same formula**: 0.078 eV per atom



Record 6
# TlPb2Br (PBE, relaxed)
data_TlPb2Br
_cell_length_a 4.6966
_cell_length_b 4.6966
_cell_length_c 11.7377
_cell_angle_alpha 90.00
_cell_angle_beta 90.00
_cell_angle_gamma 90.00
_space_group_name_H-M_alt 'I 4/m m m'
_space_group_IT_number 139
_space_group_name_Hall '-I 4 2'
loop_
_atom_site_label
_atom_site_type_symbol
_atom_site_fract_x
_atom_site_fract_y
_atom_site_fract_z
_atom_site_occupancy
Tl1 Tl 0.0000 0.0000 0.0000 1
Pb1 Pb 0.0000 0.5000 0.2500 1
Br1 Br 0.0000 0.0000 0.5000 1
# **Formation energy (no corrections)**: -0.11 eV/atom
# **Distance to the lowest polymorph of the same formula**: 0.127 eV per atom



Record 7
# TlPb4Br8 (PBE, relaxed)
data_TlPb4Br8
_cell_length_a 13.1959
_cell_length_b 13.1959
_cell_length_c 13.1959
_cell_angle_alpha 90.00
_cell_angle_beta 90.00
_cell_angle_gamma 90.00
_space_group_name_H-M_alt 'F -4 3 m'
_space_group_IT_number 216
_space_group_name_Hall 'F -4 2 3'
loop_
_atom_site_label
_atom_site_type_symbol
_atom_site_fract_x
_atom_site_fract_y
_atom_site_fract_z
_atom_site_occupancy
Tl1 Tl 0.0000 0.0000 0.0000 1
Pb1 Pb 0.1217 0.1217 0.6217 1
Br1 Br 0.1112 0.1112 0.3888 1
Br2 Br 0.1406 0.1406 0.8594 1
# **Formation energy (no corrections)**: -0.79 eV/atom
# **Distance to the lowest polymorph of the same formula**: 0.010 eV per atom



Record 8
# TlPbBr2 (PBE, relaxed)
data_TlPbBr2
_cell_length_a 4.4796
_cell_length_b 6.2086
_cell_length_c 9.6116
_cell_angle_alpha 90.00
_cell_angle_beta 90.00
_cell_angle_gamma 90.00
_space_group_name_H-M_alt 'I m m m'
_space_group_IT_number 71
_space_group_name_Hall '-I 2 2'
loop_
_atom_site_label
_atom_site_type_symbol
_atom_site_fract_x
_atom_site_fract_y
_atom_site_fract_z
_atom_site_occupancy
Tl1 Tl 0.0000 0.0000 0.0000 1
Pb1 Pb 0.0000 0.0000 0.5000 1
Br1 Br 0.0000 0.5000 0.2153 1
# **Formation energy (no corrections)**: -0.57 eV/atom
# **Distance to the lowest polymorph of the same formula**: 0.072 eV per atom



Record 9
# TlPb2Br6 (PBE, relaxed)
data_TlPb2Br6
_cell_length_a 8.0792
_cell_length_b 12.7578
_cell_length_c 7.7444
_cell_angle_alpha 90.00
_cell_angle_beta 112.36
_cell_angle_gamma 90.00
_space_group_name_H-M_alt 'C 1 2/m 1'
_space_group_IT_number 12
loop_
_space_group_symop_operation_xyz
'x,y,z'
'-x,-y,-z'
'-x,y,-z'
'x,-y,z'
'x+1/2,y+1/2,z'
'-x+1/2,-y+1/2,-z'
'-x+1/2,y+1/2,-z'
'x+1/2,-y+1/2,z'
loop_
_atom_site_label
_atom_site_type_symbol
_atom_site_fract_x
_atom_site_fract_y
_atom_site_fract_z
_atom_site_occupancy
Tl1 Tl 0.0000 0.0000 0.0000 1
Pb1 Pb 0.0000 0.1767 0.5000 1
Br1 Br 0.2178 0.0000 0.7420 1
Br2 Br 0.2217 0.1706 0.2560 1
# **Formation energy (no corrections)**: -0.76 eV/atom



Record 10
# TlPbBr2 (PBE, relaxed)
data_TlPbBr2
_cell_length_a 5.5890
_cell_length_b 5.5890
_cell_length_c 3.9448
_cell_angle_alpha 90.00
_cell_angle_beta 90.00
_cell_angle_gamma 90.00
_space_group_name_H-M_alt 'P 4/m m m'
_space_group_IT_number 123
_space_group_name_Hall '-P 4 2'
loop_
_atom_site_label
_atom_site_type_symbol
_atom_site_fract_x
_atom_site_fract_y
_atom_site_fract_z
_atom_site_occupancy
Tl1 Tl 0.0000 0.0000 0.0000 1
Pb1 Pb 0.5000 0.5000 0.0000 1
Br1 Br 0.0000 0.5000 0.5000 1
# **Formation energy (no corrections)**: -0.52 eV/atom
# **Distance to the lowest polymorph of the same formula**: 0.122 eV per atom



Record 11
# TlPbBr (PBE, relaxed)
data_TlPbBr
_cell_length_a 13.0310
_cell_length_b 5.2440
_cell_length_c 5.5739
_cell_angle_alpha 90.00
_cell_angle_beta 90.00
_cell_angle_gamma 90.00
_space_group_name_H-M_alt 'A m m 2'
_space_group_IT_number 38
loop_
_space_group_symop_operation_xyz
'x,y,z'
'-x,-y,z'
'-x,y,z'
'x,-y,z'
'x,y+1/2,z+1/2'
'-x,-y+1/2,z+1/2'
'-x,y+1/2,z+1/2'
'x,-y+1/2,z+1/2'
loop_
_atom_site_label
_atom_site_type_symbol
_atom_site_fract_x
_atom_site_fract_y
_atom_site_fract_z
_atom_site_occupancy
Tl1 Tl 0.0000 0.0000 0.0000 1
Tl2 Tl 0.5000 0.0000 0.3757 1
Pb1 Pb 0.1581 0.0000 0.5040 1
Br1 Br 0.3395 0.0000 0.8784 1
# **Formation energy (no corrections)**: -0.36 eV/atom
# **Distance to the lowest polymorph of the same formula**: 0.061 eV per atom



Record 12
# Tl3Pb2Br7 (PBE, relaxed)
data_Tl3Pb2Br7
_cell_length_a 28.1398
_cell_length_b 7.8349
_cell_length_c 8.5285
_cell_angle_alpha 90.00
_cell_angle_beta 90.00
_cell_angle_gamma 90.00
_space_group_name_H-M_alt 'C m c 21'
_space_group_IT_number 36
loop_
_space_group_symop_operation_xyz
'x,y,z'
'-x,-y,z+1/2'
'-x,y,z'
'x,-y,z+1/2'
'x+1/2,y+1/2,z'
'-x+1/2,-y+1/2,z+1/2'
'-x+1/2,y+1/2,z'
'x+1/2,-y+1/2,z+1/2'
loop_
_atom_site_label
_atom_site_type_symbol
_atom_site_fract_x
_atom_site_fract_y
_atom_site_fract_z
_atom_site_occupancy
Tl1 Tl 0.0000 0.2228 0.0000 1
Tl2 Tl 0.1900 0.2461 0.8276 1
Pb1 Pb 0.1020 0.2519 0.4165 1
Br1 Br 0.0000 0.3843 0.3678 1
Br2 Br 0.0768 0.0662 0.7260 1
Br3 Br 0.1265 0.4340 0.1138 1
Br4 Br 0.2033 0.1417 0.4529 1
# **Formation energy (no corrections)**: -0.89 eV/atom